Compound: Dy6In3O2
Source: the Alexandria database
Functional: PBE
Structure: relaxed

Properties
total DFT energy (no corrections) = -59.90 eV/f.u.
formation energy (no corrections) = -1.287 eV/atom
crystal system = tetragonal

Unit cell a=4.687 b=4.687 c=12.848 alpha=100.51 beta=100.51 gamma=90.00
Atoms (fractional coordinates):
O1 0.399 0.399 0.798
O2 0.601 0.601 0.202
Dy1 0.696 0.696 0.391
Dy2 0.415 0.915 0.829
Dy3 0.915 0.415 0.829
Dy4 0.585 0.085 0.171
Dy5 0.085 0.585 0.171
Dy6 0.304 0.304 0.609
In1 0.824 0.824 0.648
In2 0.176 0.176 0.352
In3 0.000 0.000 0.000



Compound: LiPaAs2
Source: the Alexandria database
Functional: PBE
Structure: relaxed

Properties
total DFT energy (no corrections) = -23.93 eV/f.u.
energy above the lowest structure with this stoichiometry = 0 meV/atom
E_form = -805 meV/atom
crystal system = trigonal

Unit cell a=4.210 b=4.210 c=6.501 alpha=71.11 beta=71.11 gamma=60.00
Atoms (fractional coordinates):
Li1 0.000 0.000 0.000
As1 0.248 0.248 0.256
As2 0.752 0.752 0.744
Pa1 0.500 0.500 0.500



Compound: La2HfRu2
Source: the Alexandria database
Functional: PBE
Structure: relaxed

Properties
total DFT energy (no corrections) = -39.18 eV/f.u.
E_form = -164 meV/atom
crystal system = tetragonal

Unit cell a=7.119 b=7.119 c=4.653 alpha=90.00 beta=90.00 gamma=90.00
Atoms (fractional coordinates):
La1 0.322 0.178 0.500
La2 0.822 0.322 0.500
La3 0.678 0.822 0.500
La4 0.178 0.678 0.500
Hf1 0.000 0.000 0.000
Hf2 0.500 0.500 0.000
Ru1 0.631 0.131 0.000
Ru2 0.369 0.869 0.000
Ru3 0.869 0.631 0.000
Ru4 0.131 0.369 0.000



Compound: ThScAlPd
Source: the Alexandria database
Functional: PBE
Structure: relaxed

Properties
total DFT energy (no corrections) = -24.45 eV/f.u.
E_form = -442 meV/atom
crystal system = cubic

Unit cell a=5.029 b=5.029 c=5.029 alpha=60.00 beta=60.00 gamma=60.00
Atoms (fractional coordinates):
Al1 0.250 0.250 0.250
Th1 0.500 0.500 0.500
Sc1 0.000 0.000 0.000
Pd1 0.750 0.750 0.750



Compound: Mn2AlAu
Source: the Alexandria database
Functional: PBE
Structure: relaxed

Properties
total DFT energy (no corrections) = -24.06 eV/f.u.
energy above the lowest structure with this stoichiometry = 451 meV/atom
E_form = 325 meV/atom
crystal system = tetragonal

Unit cell a=7.107 b=7.107 c=5.679 alpha=51.27 beta=51.27 gamma=90.00
Last column: magnetic moment on the atom in μB.
Atoms (fractional coordinates):
Au1 0.000 0.000 0.000  0.03
Au2 0.750 0.250 0.500  0.03
Al1 0.500 0.500 0.000  -0.08
Al2 0.250 0.750 0.500  -0.08
Mn1 0.622 0.125 0.250  3.35
Mn2 0.875 0.872 0.750  3.32
Mn3 0.375 0.378 0.750  3.33
Mn4 0.128 0.625 0.250  3.34



Compound: FeNi2Pt5Rh2
Source: the Alexandria database
Functional: PBE
Structure: relaxed

Properties
total DFT energy (no corrections) = -63.79 eV/f.u.
E_form = 114 meV/atom
crystal system = tetragonal

Unit cell a=3.953 b=8.724 c=8.724 alpha=90.00 beta=90.00 gamma=90.00
Last column: magnetic moment on the atom in μB.
Atoms (fractional coordinates):
Rh1 0.000 0.674 0.174  1.07
Rh2 0.000 0.326 0.826  1.07
Rh3 0.000 0.826 0.674  1.07
Rh4 0.000 0.174 0.326  1.07
Ni1 0.000 0.622 0.878  0.89
Ni2 0.000 0.378 0.122  0.89
Ni3 0.000 0.122 0.622  0.89
Ni4 0.000 0.878 0.378  0.89
Pt1 0.500 0.000 0.500  0.36
Pt2 0.500 0.593 0.693  0.38
Pt3 0.500 0.193 0.093  0.38
Pt4 0.500 0.807 0.907  0.38
Pt5 0.500 0.907 0.193  0.38
Pt6 0.500 0.407 0.307  0.38
Pt7 0.500 0.693 0.407  0.38
Pt8 0.500 0.307 0.593  0.38
Pt9 0.500 0.093 0.807  0.38
Pt10 0.500 0.500 0.000  0.36
Fe1 0.000 0.000 0.000  3.26
Fe2 0.000 0.500 0.500  3.26



Compound: Fe2TeIr
Source: the Alexandria database
Functional: PBE
Structure: relaxed

Properties
total DFT energy (no corrections) = -27.39 eV/f.u.
formation energy (no corrections) = 0.384 eV/atom
crystal system = tetragonal

Unit cell a=4.335 b=4.335 c=3.122 alpha=90.00 beta=90.00 gamma=90.00
Last column: magnetic moment on the atom in μB.
Atoms (fractional coordinates):
Ir1 0.500 0.000 0.500  0.47
Fe1 0.000 0.000 0.000  2.00
Fe2 0.500 0.500 0.000  2.00
Te1 0.000 0.500 0.500  -0.08



Compound: TlPtSeN2
Source: the Alexandria database
Functional: PBE
Structure: relaxed

Properties
total DFT energy (no corrections) = -23.47 eV/f.u.
formation energy (no corrections) = 1.015 eV/atom
energy above the lowest structure with this stoichiometry = 0 meV/atom
crystal system = tetragonal

Unit cell a=3.842 b=3.842 c=8.256 alpha=90.00 beta=90.00 gamma=90.00
Atoms (fractional coordinates):
Pt1 0.000 0.000 0.000
Tl1 0.500 0.500 0.500
Se1 0.000 0.000 0.500
N1 0.500 0.000 0.000
N2 0.000 0.500 0.000



Compound: Pm6Ag5Pb
Source: the Alexandria database
Functional: PBE
Structure: relaxed

Properties
total DFT energy (no corrections) = -50.16 eV/f.u.
E_form = -307 meV/atom
crystal system = monoclinic

Unit cell a=5.292 b=7.599 c=8.389 alpha=90.00 beta=108.48 gamma=90.00
Last column: magnetic moment on the atom in μB.
Atoms (fractional coordinates):
Pm1 0.168 0.254 0.340  0.09
Pm2 0.168 0.746 0.340  0.09
Pm3 0.832 0.746 0.660  0.09
Pm4 0.832 0.254 0.660  0.09
Pm5 0.500 0.258 0.000  0.10
Pm6 0.500 0.742 0.000  0.10
Pb1 0.000 0.000 0.000  -0.01
Ag1 0.337 0.500 0.668  0.01
Ag2 0.000 0.500 0.000  0.01
Ag3 0.663 0.500 0.332  0.01
Ag4 0.663 0.000 0.331  0.01
Ag5 0.337 0.000 0.669  0.01



Compound: PmPd12Pb6
Source: the Alexandria database
Functional: PBE
Structure: relaxed

Properties
total DFT energy (no corrections) = -93.14 eV/f.u.
E_form = -201 meV/atom
crystal system = trigonal

Unit cell a=7.693 b=7.693 c=7.693 alpha=104.84 beta=104.84 gamma=104.84
Atoms (fractional coordinates):
Pb1 0.722 0.308 0.722
Pb2 0.278 0.278 0.692
Pb3 0.692 0.278 0.278
Pb4 0.308 0.722 0.722
Pb5 0.278 0.692 0.278
Pb6 0.722 0.722 0.308
Pd1 0.500 0.114 0.886
Pd2 0.500 0.886 0.114
Pd3 0.886 0.500 0.114
Pd4 0.114 0.500 0.886
Pd5 0.886 0.114 0.500
Pd6 0.654 0.892 0.654
Pd7 0.114 0.886 0.500
Pd8 0.892 0.654 0.654
Pd9 0.346 0.346 0.108
Pd10 0.654 0.654 0.892
Pd11 0.346 0.108 0.346
Pd12 0.108 0.346 0.346
Pm1 0.000 0.000 0.000



Compound: CsCuSbCl6
Source: the Alexandria database
Functional: PBE
Structure: relaxed

Properties
total DFT energy (no corrections) = -29.22 eV/f.u.
formation energy (no corrections) = -1.007 eV/atom
crystal system = triclinic

Unit cell a=6.671 b=6.665 c=7.150 alpha=79.63 beta=100.13 gamma=76.82
Atoms (fractional coordinates):
Cl1 0.700 0.945 0.233
Cl2 0.366 0.556 0.247
Cl3 0.941 0.700 0.769
Cl4 0.373 0.961 0.574
Cl5 0.962 0.375 0.427
Cl6 0.557 0.364 0.752
Sb1 0.670 0.670 0.500
Cs1 0.108 0.109 0.000
Cu1 0.322 0.319 0.499



Compound: PrDy2Y
Source: the Alexandria database
Functional: PBE
Structure: relaxed

Properties
total DFT energy (no corrections) = -20.36 eV/f.u.
energy above the lowest structure with this stoichiometry = 15 meV/atom
E_form = 23 meV/atom
crystal system = tetragonal

Unit cell a=5.083 b=5.081 c=5.081 alpha=90.00 beta=90.00 gamma=90.00
Atoms (fractional coordinates):
Y1 0.500 0.000 0.000
Pr1 0.500 0.500 0.500
Dy1 0.000 0.000 0.500
Dy2 0.000 0.500 0.000



Compound: Y3BiC
Source: the Alexandria database
Functional: PBE
Structure: relaxed

Properties
total DFT energy (no corrections) = -32.42 eV/f.u.
energy above the lowest structure with this stoichiometry = 590 meV/atom
E_form = 15 meV/atom
crystal system = hexagonal

Unit cell a=5.216 b=5.216 c=9.998 alpha=90.00 beta=90.00 gamma=120.00
Last column: magnetic moment on the atom in μB.
Atoms (fractional coordinates):
C1 0.000 0.000 0.000  -0.06
C2 0.000 0.000 0.500  -0.05
Y1 0.333 0.667 0.068  0.46
Y2 0.667 0.333 0.932  0.46
Y3 0.333 0.667 0.432  0.45
Y4 0.667 0.333 0.568  0.45
Y5 0.000 0.000 0.250  0.27
Y6 0.000 0.000 0.750  0.27
Bi1 0.333 0.667 0.750  -0.02
Bi2 0.667 0.333 0.250  -0.02



Compound: Sr2Li3SnSb4
Source: the Alexandria database
Functional: PBE
Structure: relaxed

Properties
total DFT energy (no corrections) = -35.75 eV/f.u.
formation energy (no corrections) = -0.616 eV/atom
crystal system = tetragonal

Unit cell a=4.790 b=4.790 c=12.025 alpha=90.00 beta=90.00 gamma=90.00
Atoms (fractional coordinates):
Li1 0.000 0.000 0.500
Li2 0.000 0.500 0.119
Li3 0.500 0.000 0.881
Sr1 0.000 0.500 0.779
Sr2 0.500 0.000 0.221
Sb1 0.000 0.000 0.000
Sb2 0.500 0.000 0.658
Sb3 0.000 0.500 0.342
Sb4 0.500 0.500 0.000
Sn1 0.500 0.500 0.500



Compound: Tm3CdTe6
Source: the Alexandria database
Functional: PBE
Structure: relaxed

Properties
total DFT energy (no corrections) = -43.26 eV/f.u.
formation energy (no corrections) = -1.008 eV/atom
crystal system = orthorhombic

Unit cell a=7.474 b=9.332 c=9.332 alpha=99.63 beta=90.00 gamma=90.00
Atoms (fractional coordinates):
Cd1 0.509 0.784 0.216
Cd2 0.009 0.216 0.784
Te1 0.635 0.228 0.772
Te2 0.723 0.905 0.460
Te3 0.680 0.625 0.705
Te4 0.723 0.540 0.095
Te5 0.223 0.095 0.540
Te6 0.135 0.772 0.228
Te7 0.680 0.295 0.375
Te8 0.223 0.460 0.905
Te9 0.686 0.965 0.035
Te10 0.186 0.035 0.965
Te11 0.180 0.375 0.295
Te12 0.180 0.705 0.625
Tm1 0.983 0.080 0.274
Tm2 0.983 0.726 0.920
Tm3 0.382 0.405 0.595
Tm4 0.882 0.595 0.405
Tm5 0.483 0.920 0.726
Tm6 0.483 0.274 0.080



Compound: La2BiSb4
Source: the Alexandria database
Functional: PBE
Structure: relaxed

Properties
total DFT energy (no corrections) = -35.11 eV/f.u.
formation energy (no corrections) = -0.698 eV/atom
crystal system = tetragonal

Unit cell a=4.450 b=4.450 c=11.620 alpha=90.00 beta=90.00 gamma=90.00
Atoms (fractional coordinates):
Sb1 0.500 0.500 0.500
Sb2 0.500 0.000 0.194
Sb3 0.000 0.000 0.500
Sb4 0.000 0.500 0.806
La1 0.500 0.000 0.717
La2 0.000 0.500 0.283
Bi1 0.500 0.500 0.000



Compound: Ac2TmAl
Source: the Alexandria database
Functional: PBE
Structure: relaxed

Properties
total DFT energy (no corrections) = -16.36 eV/f.u.
energy above the lowest structure with this stoichiometry = 58 meV/atom
E_form = 18 meV/atom
crystal system = cubic

Unit cell a=5.738 b=5.738 c=5.738 alpha=60.00 beta=60.00 gamma=60.00
Atoms (fractional coordinates):
Al1 0.500 0.500 0.500
Tm1 0.000 0.000 0.000
Ac1 0.750 0.750 0.750
Ac2 0.250 0.250 0.250



Compound: Ba5InSi2
Source: the Alexandria database
Functional: PBE
Structure: relaxed

Properties
total DFT energy (no corrections) = -25.96 eV/f.u.
formation energy (no corrections) = -0.346 eV/atom
crystal system = tetragonal

Unit cell a=8.632 b=8.632 c=10.672 alpha=113.86 beta=113.86 gamma=90.00
Atoms (fractional coordinates):
Ba1 0.686 0.186 0.727
Ba2 0.959 0.459 0.273
Ba3 0.500 0.500 0.000
Ba4 0.814 0.959 0.273
Ba5 0.186 0.041 0.727
Ba6 0.314 0.814 0.273
Ba7 0.541 0.686 0.727
Ba8 0.041 0.541 0.727
Ba9 0.000 0.000 0.000
Ba10 0.459 0.314 0.273
In1 0.750 0.750 0.500
In2 0.250 0.250 0.500
Si1 0.100 0.400 0.000
Si2 0.900 0.600 0.000
Si3 0.600 0.100 0.000
Si4 0.400 0.900 0.000



Compound: MnTlZnTe3
Source: the Alexandria database
Functional: PBE
Structure: relaxed

Properties
total DFT energy (no corrections) = -23.77 eV/f.u.
formation energy (no corrections) = -0.255 eV/atom
crystal system = monoclinic

Unit cell a=4.159 b=8.896 c=10.200 alpha=108.94 beta=90.00 gamma=90.00
Last column: magnetic moment on the atom in μB.
Atoms (fractional coordinates):
Te1 0.250 0.758 0.451  0.00
Te2 0.250 0.112 0.869  -0.04
Te3 0.750 0.462 0.140  -0.11
Te4 0.750 0.242 0.549  0.00
Te5 0.750 0.888 0.131  -0.04
Te6 0.250 0.538 0.860  -0.11
Zn1 0.750 0.922 0.398  0.01
Zn2 0.250 0.078 0.602  0.01
Mn1 0.750 0.325 0.857  3.83
Mn2 0.250 0.675 0.143  3.83
Tl1 0.250 0.215 0.238  0.02
Tl2 0.750 0.785 0.762  0.02



Compound: As2Pt
Source: the Alexandria database
Functional: PBE
Structure: relaxed

Properties
total DFT energy (no corrections) = -14.87 eV/f.u.
E_form = 155 meV/atom
crystal system = hexagonal

Unit cell a=4.566 b=4.566 c=5.887 alpha=90.00 beta=90.00 gamma=120.00
Atoms (fractional coordinates):
Pt1 0.667 0.333 0.250
Pt2 0.333 0.667 0.750
As1 0.333 0.667 0.250
As2 0.000 0.000 0.000
As3 0.667 0.333 0.750
As4 0.000 0.000 0.500